## Mo2BrCl (PBE)

Data for crystalline Mo2BrCl at its relaxed geometry.

Results
Raw total energy ... -0.4413 Ry/atom
Spin magnetization ... 0.00 μB/cell
Space group ... C2/m, No. 12
Energy above the lowest structure with this stoichiometry ... 0.429 eV per atom
ΔE_f (raw) ... 292 meV per atom
DOS at the Fermi energy ... 1.06 states/eV/cell

a = 6.1470 Å, b = 6.1470 Å, c = 8.2131 Å
α = 43.72°, β = 43.72°, γ = 30.09°
Sites, in units of the cell vectors:
1 Mo 0.5202 0.5202 0.3307
2 Mo 0.9798 0.9798 0.1693
3 Br 0.7500 0.7500 0.7500
4 Cl 0.2500 0.2500 0.2500